(1)
Material: YMn2FeAg
Method: DFT, GGA-PBE
State: relaxed

a b c (Å): 4.8772 4.8772 5.4058
angles (deg): 90.00 90.00 90.00
Element x y z (fractional)
Y (0.0000, 0.0000, 0.0000)
Mn (0.0000, 0.5000, 0.5000)
Mn (0.5000, 0.0000, 0.5000)
Fe (0.5000, 0.5000, 0.0000)
Ag (0.0000, 0.0000, 0.5000)

space group: No. 123
M_tot: 11.25 μB/cell
density of states at the Fermi level: 6.15 states/eV/f.u.

(2)
Material: FeAgMo2
Method: DFT, GGA-PBE
State: relaxed

a b c (Å): 2.6881 2.6881 8.9356
angles (deg): 90.00 90.00 107.31
Element x y z (fractional)
Fe (0.0000, 0.0000, 0.0000)
Ag (0.5000, 0.5000, 0.7508)
Mo (0.0000, 0.0000, 0.4775)
Mo (0.5000, 0.5000, 0.2270)

space group: No. 35
M_tot: 2.40 μB/cell
energy relative to the lowest polymorph listed for this composition: 0 meV per atom
density of states at the Fermi level: 2.99 states/eV/f.u.

Number 1: raw total energy -5.99 eV per atom. Number 2: raw total energy -7.99 eV per atom.